The following is a PBE-GGA calculation of an optimized crystal structure of Ta2CuW, from the Alexandria database.

## Properties
calculated volume	16.68	Å³/atom
energy above the lowest structure with this stoichiometry	286	meV per atom
raw total energy	-9.871	eV per atom
energy of formation	318	meV per atom
ρ	15.2	g/cm³

Cell lengths 9.8040, 9.8040, 9.8040 Å; angles 16.55, 16.55, 16.55 degrees
Last column: nearest neighbours and their distance in Å.
Fractional coordinates of all 4 atoms:
1 Ta 0.0039 0.0039 0.0039  3 Cu 2.82, 6 Ta 2.82, 3 W 3.01
2 Ta 0.4961 0.4961 0.4961  3 Cu 2.82, 6 Ta 2.82, 3 W 3.01
3 Cu 0.7500 0.7500 0.7500  6 Ta 2.82, 6 Cu 2.82
4 W 0.2500 0.2500 0.2500  6 W 2.82, 6 Ta 3.01